# Co2CuRuO8

Crystalline Co2CuRuO8 at its relaxed geometry (PBE+U, Alexandria).

abc: 6.291 6.291 6.541
angles: 90.00 90.00 90.00
Space group I-4m2 (No. 119)
Inequivalent atoms, fractional coordinates:
Co 0.000 0.000 0.000 (multiplicity 2)
Co 0.000 0.500 0.250 (multiplicity 2)
Cu 0.000 0.000 0.500 (multiplicity 2)
Ru 0.000 0.500 0.750 (multiplicity 2)
O 0.000 0.207 0.808 (multiplicity 8)
O 0.000 0.321 0.457 (multiplicity 8)

Computed properties:
* Fermi-level density of states: 4.73 states/eV/cell
* DFT total energy: -5.7202 eV/atom
* crystal system: tetragonal